The following is a DFT calculation (PBE) of Ce2CdTe after structural relaxation.

The total magnetization comes out at 2.24 μB per formula unit. The value obtained for the density is 6.7 g cm⁻³. For the energy, the calculation gives -4.56 eV/atom. As for the calculated volume: 32.4 Å³ per atom. The energy above the most stable polymorph in this dataset comes out at 3.66 kJ per mole of atoms.

It has space group R-3m (No. 166, hexagonal axes), with a = 4.3494 Å, b = 4.3494 Å, c = 23.7015 Å, α = 90.00°, β = 90.00° and γ = 120.00°. Symmetry generates all atoms from Ce at (0.0000, 0.0000, 0.2460), Cd at (0.0000, 0.0000, 0.0000) and Te at (0.0000, 0.0000, 0.5000).